# 1
# Cs3Tl2I2Cl3

A relaxed Cs3Tl2I2Cl3 crystal (GGA-PBE, Alexandria via LeMat-Bulk).

Geometry as POSCAR:
```
Cs3Tl2I2Cl3
1.0
-2.770 2.770 17.251
2.770 -2.770 17.251
2.770 2.770 -17.251
Cs Tl I Cl
3 2 2 3
Direct
0.000 0.000 0.000
0.401 0.401 0.000
0.599 0.599 0.000
0.198 0.198 0.000
0.802 0.802 0.000
0.250 0.750 0.500
0.750 0.250 0.500
0.097 0.097 0.000
0.500 0.500 0.000
0.903 0.903 0.000
```

Results
SG: I4/mmm, No. 139
Magnetization in μB per cell: 0.00
E_form (uncorrected) in meV per atom: -1309

---

# 2
# K2Tl3In

A relaxed K2Tl3In crystal (GGA-PBE, Alexandria via LeMat-Bulk).

Geometry as POSCAR:
```
K2Tl3In
1.0
0.000 5.459 9.502
3.861 0.000 9.502
3.861 5.459 0.000
K Tl In
4 6 2
Direct
0.245 0.755 0.755
0.250 0.250 0.250
0.750 0.750 0.750
0.755 0.245 0.245
0.169 0.169 0.831
0.169 0.662 0.338
0.338 0.831 0.169
0.662 0.169 0.831
0.831 0.338 0.662
0.831 0.831 0.169
0.334 0.334 0.666
0.666 0.666 0.334
```

Results
SG: Fmmm, No. 69
Magnetization in μB per cell: 0.00
ΔE_f in eV/atom: -0.078
E above lowest polymorph in meV/atom: 32.3

---

# 3
# HfB3Os

A relaxed HfB3Os crystal (GGA-PBE, Alexandria via LeMat-Bulk).

Geometry as POSCAR:
```
HfB3Os
1.0
4.102 0.000 0.000
0.000 4.102 0.000
0.000 0.000 4.102
Hf B Os
1 3 1
Direct
0.000 0.000 0.000
0.000 0.000 0.500
0.000 0.500 0.000
0.500 0.000 0.000
0.500 0.500 0.500
```

Results
SG: Pm-3m, No. 221
Magnetization in μB per cell: 0.00
ΔE_f in eV/atom: 2.275
E above lowest polymorph in meV/atom: 1667.4

---

# 4
# AcHoSbS

A relaxed AcHoSbS crystal (GGA-PBE, Alexandria via LeMat-Bulk).

Geometry as POSCAR:
```
AcHoSbS
1.0
5.006 0.000 0.000
0.000 5.006 0.000
0.000 0.000 10.249
Ac Ho Sb S
2 2 2 2
Direct
0.250 0.250 0.146
0.750 0.750 0.854
0.250 0.750 0.500
0.750 0.250 0.500
0.250 0.250 0.674
0.750 0.750 0.326
0.250 0.750 0.000
0.750 0.250 0.000
```

Results
SG: P4/nmm, No. 129
Magnetization in μB per cell: 0.06
E_form (uncorrected) in meV per atom: -1329

---

# 5
# YAu3

A relaxed YAu3 crystal (GGA-PBE, Alexandria via LeMat-Bulk).

Geometry as POSCAR:
```
YAu3
1.0
4.227 0.000 0.000
-2.113 3.661 0.000
0.000 0.000 6.337
Y Au
1 3
Direct
0.000 0.000 0.000
0.000 0.000 0.500
0.667 0.333 0.265
0.667 0.333 0.735
```

Results
SG: P-6m2, No. 187
Magnetization in μB per cell: 0.00
ΔE_f in eV/atom: -0.411

---

# 6
# K2Cd3I8

A relaxed K2Cd3I8 crystal (GGA-PBE, Alexandria via LeMat-Bulk).

Geometry as POSCAR:
```
K2Cd3I8
1.0
8.580 -4.415 0.000
8.580 4.415 0.000
-2.313 0.000 7.463
K Cd I
2 3 8
Direct
0.239 0.239 0.168
0.761 0.761 0.832
0.243 0.757 0.500
0.500 0.500 0.000
0.757 0.243 0.500
0.112 0.112 0.451
0.162 0.636 0.107
0.364 0.838 0.893
0.397 0.397 0.597
0.603 0.603 0.403
0.636 0.162 0.107
0.838 0.364 0.893
0.888 0.888 0.549
```

Results
SG: C2/m, No. 12
Magnetization in μB per cell: 0.00
E_form (uncorrected) in meV per atom: -830

---

# 7
# TaBiIr

A relaxed TaBiIr crystal (GGA-PBE, Alexandria via LeMat-Bulk).

Geometry as POSCAR:
```
TaBiIr
1.0
3.530 0.000 0.000
-1.765 3.057 0.000
0.000 0.000 11.870
Ta Bi Ir
2 2 2
Direct
0.000 0.000 0.138
0.000 0.000 0.862
0.333 0.667 0.339
0.333 0.667 0.661
0.000 0.000 0.500
0.333 0.667 0.000
```

Results
SG: P-6m2, No. 187
Magnetization in μB per cell: 0.00
ΔE_f in eV/atom: 0.381

---

# 8
# OsWSe2Br

A relaxed OsWSe2Br crystal (GGA-PBE, Alexandria via LeMat-Bulk).

Geometry as POSCAR:
```
OsWSe2Br
1.0
4.898 0.000 0.000
0.000 4.898 0.000
0.000 0.000 5.163
Os W Se Br
1 1 2 1
Direct
0.000 0.000 0.000
0.500 0.500 0.500
0.000 0.500 0.500
0.500 0.000 0.500
0.500 0.500 0.000
```

Results
SG: P4/mmm, No. 123
Magnetization in μB per cell: 3.76
E_form (uncorrected) in meV per atom: 1480
E above lowest polymorph in meV/atom: 0.0